No. 1
Here is crystalline CaIr2Ru at its relaxed geometry from Alexandria. Energies are from GGA-PBE.

Total moment in μB per formula unit: 3.77
V in A^3/atom: 16.9
Total energy in eV for the cell shown: -27.37

Cell and atoms, written as POSCAR:
```
CaIr2Ru
1.0
0.0000 3.2363 3.2363
3.2363 0.0000 3.2363
3.2363 3.2363 0.0000
Ru Ca Ir
1 1 2
Cartesian
3.2363 3.2363 3.2363
0.0000 0.0000 0.0000
1.6181 1.6181 1.6181
4.8544 4.8544 4.8544
```


No. 2
Here is crystalline Cd3NiSn at its relaxed geometry from Alexandria. Energies are from GGA-PBE.

Total moment in μB per formula unit: 0.00
V in A^3/atom: 24.5
Total energy in eV for the cell shown: -11.39

Cell and atoms, written as POSCAR:
```
Cd3NiSn
1.0
4.9682 0.0000 0.0000
0.0000 4.9682 0.0000
0.0000 0.0000 4.9682
Ni Sn Cd
1 1 3
Cartesian
0.0000 0.0000 0.0000
2.4841 2.4841 2.4841
0.0000 2.4841 0.0000
0.0000 0.0000 2.4841
2.4841 0.0000 0.0000
```


No. 3
Here is crystalline ReW2Au at its relaxed geometry from Alexandria. Energies are from GGA-PBE.

Total moment in μB per formula unit: 0.00
V in A^3/atom: 16.4
Total energy in eV for the cell shown: -40.06

Cell and atoms, written as POSCAR:
```
ReW2Au
1.0
-0.9077 3.2317 0.2073
-2.5515 -0.5812 -2.1126
-3.4336 -1.2525 4.4916
Au Re W
1 1 2
Cartesian
-2.5880 1.0121 0.1702
-4.3048 0.3859 2.4160
-3.3618 -1.2264 4.3977
-1.7886 -0.6525 2.3397
```


Question: Which value of V does entry 3 give?
Answer: 16.4 A^3/atom


Question: Number 1 is which compound?
Answer: CaIr2Ru


Question: Which value of total moment does entry 2 give?
Answer: 0.00 μB per formula unit